Entry from Alexandria: a relaxed structure of Rb3SrMg2Cl9 (PBE-GGA).

Summary:
mass density = 2.7 g/cm3
space group = P-3m1 (164)
energy relative to the elements, uncorrected = -2017.3 meV per atom
total magnetic moment = 0.00 μB per formula unit

Lattice parameters (Å, degrees): 7.396 7.396 9.261 90.00 90.00 120.00
Positions (direct):
Rb  0.333  0.667  0.692
Rb  0.000  0.000  0.000
Rb  0.667  0.333  0.308
Sr  0.000  0.000  0.500
Mg  0.333  0.667  0.156
Mg  0.667  0.333  0.844
Cl  0.825  0.175  0.687
Cl  0.825  0.650  0.687
Cl  0.350  0.175  0.687
Cl  0.650  0.825  0.313
Cl  0.175  0.350  0.313
Cl  0.175  0.825  0.313
Cl  0.500  0.000  0.000
Cl  0.000  0.500  0.000
Cl  0.500  0.500  0.000